# 1
Computed, not measured: a relaxed structure of NbReTe at the PBE level of DFT.

a = 3.1671 Å, b = 3.2894 Å, c = 12.7138 Å
α = 90.00°, β = 90.00°, γ = 118.78°
Last column: nearest neighbours and their distance in Å.
Atoms (fractional coordinates):
Te: 0.1757 0.3514 0.8335  3 Nb 2.76-2.86, 2 Re 2.80
Te: 0.1757 0.3514 0.1665  3 Nb 2.76-2.86, 2 Re 2.80
Nb: 0.4016 0.8033 0.5000  6 Re 2.65-2.73
Nb: 0.4841 0.9681 0.0000  6 Te 2.76-2.86
Re: 0.7148 0.4295 0.3471  3 Nb 2.65-2.73, 2 Te 2.80
Re: 0.7148 0.4295 0.6529  3 Nb 2.65-2.73, 2 Te 2.80

Output
M_tot	0.0000	μB per atom
space group	Amm2
formation energy (no corrections)	0.489	eV per atom
mass density	11.635	g/cm³
crystal system	orthorhombic



# 2
Computed, not measured: a relaxed structure of ZnAsP2 at the PBE level of DFT.

a = 6.3711 Å, b = 6.3711 Å, c = 6.7105 Å
α = 38.98°, β = 38.98°, γ = 31.07°
Last column: nearest neighbours and their distance in Å.
Atoms (fractional coordinates):
P: 0.0585 0.0585 0.0556  2 P 2.24, 1 As 2.34
P: 0.6938 0.6938 0.6959  2 P 2.24, 1 Zn 2.41
Zn: 0.5427 0.5427 0.5985  1 P 2.41, 3 As 2.48-2.50
As: 0.2049 0.2049 0.1500  1 P 2.34, 3 Zn 2.48-2.50

Output
M_tot	0.0000	μB per atom
space group	Cm
mass density	4.045	g/cm³
crystal system	monoclinic
distance to the lowest polymorph of the same formula	0	meV per atom
E_form	4	kJ per mole of atoms



# 3
Computed, not measured: a relaxed structure of Zr2Pt3Rh at the PBE level of DFT.

a = 5.6399 Å, b = 5.6387 Å, c = 7.8931 Å
α = 110.93°, β = 110.93°, γ = 90.00°
Last column: nearest neighbours and their distance in Å.
Atoms (fractional coordinates):
Zr: 0.9146 0.6652 0.3305  5 Pt 2.66-2.86
Zr: 0.0854 0.3348 0.6695  5 Pt 2.66-2.86
Zr: 0.5842 0.8348 0.6695  5 Pt 2.66-2.86
Zr: 0.4158 0.1652 0.3305  5 Pt 2.66-2.86
Pt: 0.3857 0.6396 0.2792  5 Zr 2.66-2.86, 2 Rh 2.74, 2 Pt 2.77
Pt: 0.5000 0.7500 0.0000  6 Pt 2.77-2.82, 2 Rh 2.82, 4 Zr 3.01
Pt: 0.5000 0.2500 0.0000  6 Pt 2.77-2.82, 2 Rh 2.82, 4 Zr 3.01
Pt: 0.6143 0.3604 0.7208  5 Zr 2.66-2.86, 2 Rh 2.74, 2 Pt 2.77
Pt: 0.8935 0.1396 0.2792  5 Zr 2.66-2.86, 2 Rh 2.74, 2 Pt 2.77
Pt: 0.1065 0.8604 0.7208  5 Zr 2.66-2.86, 2 Rh 2.74, 2 Pt 2.77
Rh: 0.0000 0.2500 0.0000  6 Pt 2.74-2.82, 2 Rh 2.82, 4 Zr 3.01
Rh: 0.0000 0.7500 0.0000  6 Pt 2.74-2.82, 2 Rh 2.82, 4 Zr 3.01

Output
M_tot	0.0000	μB per atom
space group	Ibam
mass density	13.347	g/cm³
crystal system	orthorhombic
E_form	-84	kJ per mole of atoms



# 4
Computed, not measured: a relaxed structure of NaPd7Pb4 at the PBE level of DFT.

a = 5.0291 Å, b = 8.9746 Å, c = 6.2165 Å
α = 82.91°, β = 66.14°, γ = 73.73°
Last column: nearest neighbours and their distance in Å.
Atoms (fractional coordinates):
Pb: 0.7393 0.6706 0.8508  6 Pd 2.73-2.97
Pb: 0.4069 0.7801 0.4060  8 Pd 2.74-2.98
Pb: 0.5931 0.2199 0.5940  8 Pd 2.74-2.98
Pb: 0.2607 0.3294 0.1492  6 Pd 2.73-2.97
Pd: 0.2147 0.0944 0.4762  4 Pb 2.73-2.82, 4 Pd 2.84-3.00
Pd: 0.7853 0.9056 0.5238  4 Pb 2.73-2.82, 4 Pd 2.84-3.00
Pd: 0.5000 0.0000 0.0000  2 Na 2.51
Pd: 0.0731 0.6599 0.1940  4 Pd 2.81-3.02, 3 Pb 2.86-2.98, 1 Na 3.12
Pd: 0.9269 0.3401 0.8060  4 Pd 2.81-3.02, 3 Pb 2.86-2.98, 1 Na 3.12
Pd: 0.6366 0.4703 0.2565  4 Pd 2.81-3.02, 5 Pb 2.81-2.87
Pd: 0.3634 0.5297 0.7435  4 Pd 2.81-3.02, 5 Pb 2.81-2.87
Na: 0.0000 0.0000 0.0000  2 Pd 2.51

Output
M_tot	0.0000	μB per atom
space group	C2/m
mass density	10.765	g/cm³
crystal system	monoclinic
E_form	-14	kJ per mole of atoms



# 5
Computed, not measured: a relaxed structure of Ca4HAu at the PBE level of DFT.

a = 6.0888 Å, b = 7.9884 Å, c = 9.5392 Å
α = 90.00°, β = 90.00°, γ = 130.73°
Last column: nearest neighbours and their distance in Å.
Atoms (fractional coordinates):
H: 0.0002 0.8681 0.2500  4 Ca 2.27-2.29
H: 0.9998 0.1319 0.7500  4 Ca 2.27-2.29
Ca: 0.0019 0.2828 0.5450  1 H 2.29
Ca: 0.3904 0.2352 0.2500  1 H 2.27
Ca: 0.6096 0.7648 0.7500  1 H 2.27
Ca: 0.0019 0.2828 0.9550  1 H 2.29
Ca: 0.9981 0.7172 0.4550  1 H 2.29
Ca: 0.3895 0.1521 0.7500  1 H 2.27
Ca: 0.9981 0.7172 0.0450  1 H 2.29
Ca: 0.6105 0.8479 0.2500  1 H 2.27
Au: 0.0024 0.3921 0.2500  6 Ca 2.95-3.26
Au: 0.9976 0.6079 0.7500  6 Ca 2.95-3.26

Output
M_tot	0.0000	μB per atom
space group	P2_1/m
mass density	3.384	g/cm³
crystal system	monoclinic
distance to the lowest polymorph of the same formula	36	meV per atom



# 6
Computed, not measured: a relaxed structure of BaPr2CuSe4 at the PBE level of DFT.

a = 4.2550 Å, b = 7.4835 Å, c = 14.6957 Å
α = 90.00°, β = 90.00°, γ = 106.52°
Last column: nearest neighbours and their distance in Å.
Atoms (fractional coordinates):
Se: 0.0000 0.0000 0.5000  4 Pr 2.96
Se: 0.4363 0.8726 0.7500  2 Cu 2.51
Se: 0.5637 0.1274 0.2500  2 Cu 2.51
Se: 0.7299 0.4599 0.6210  1 Cu 2.50
Se: 0.2701 0.5401 0.3790  1 Cu 2.50
Se: 0.2701 0.5401 0.1210  1 Cu 2.50
Se: 0.0000 0.0000 0.0000  4 Pr 2.96
Se: 0.7299 0.4599 0.8790  1 Cu 2.50
Cu: 0.8437 0.6874 0.7500  4 Se 2.50-2.51
Cu: 0.1563 0.3126 0.2500  4 Se 2.50-2.51
Pr: 0.3700 0.7399 0.9416  6 Se 2.96-3.07
Pr: 0.3700 0.7399 0.5584  6 Se 2.96-3.07
Pr: 0.6300 0.2601 0.0584  6 Se 2.96-3.07
Pr: 0.6300 0.2601 0.4416  6 Se 2.96-3.07
Ba: 0.8872 0.7743 0.2500  6 Se 3.31
Ba: 0.1128 0.2257 0.7500  6 Se 3.31

Output
M_tot	0.0000	μB per atom
space group	Cmcm
formation energy (no corrections)	-1.618	eV per atom
mass density	5.911	g/cm³
crystal system	orthorhombic